Density functional theory data (SCAN) for a crystal of ScBe4Ir relaxed with PBEsol.

Cell: 4.4668 4.4668 4.4668 Å, 60.00 60.00 60.00°
Positions (direct):
Sc (0.0000, 0.0000, 0.0000)
Be (0.3764, 0.3764, 0.3764)
Be (0.3764, 0.3764, 0.8709)
Be (0.3764, 0.8709, 0.3764)
Be (0.8709, 0.3764, 0.3764)
Ir (0.7500, 0.7500, 0.7500)

Summary:
DFT formation energy: -681 meV per atom
Crystal system: cubic
Final energy: -17.806 eV per atom
SG: F-43m (216)

***

Density functional theory data (SCAN) for a crystal of ScBeIr2 relaxed with PBEsol.

Cell: 2.9839 4.1705 8.8892 Å, 90.00 90.00 90.00°
Positions (direct):
Sc (0.0000, 0.0000, 0.0000)
Sc (0.5000, 0.5000, 0.5000)
Be (0.0000, 0.5000, 0.7682)
Be (0.5000, 0.0000, 0.2682)
Ir (0.0000, 0.0000, 0.4766)
Ir (0.0000, 0.5000, 0.2352)
Ir (0.5000, 0.0000, 0.7352)
Ir (0.5000, 0.5000, 0.9766)

Summary:
DFT formation energy: -603 meV per atom
Crystal system: orthorhombic
Final energy: -40.801 eV per atom
SG: Imm2 (44)
D(E_F): 5.56 states/eV/cell

***

Density functional theory data (SCAN) for a crystal of ScBeIr2 relaxed with PBEsol.

Cell: 5.4798 8.3072 2.7697 Å, 90.00 117.10 90.00°
Positions (direct):
Sc (0.0000, 0.0000, 0.0000)
Sc (0.5000, 0.5000, 0.0000)
Be (0.0000, 0.5000, 0.0000)
Be (0.5000, 0.0000, 0.0000)
Ir (0.2500, 0.2500, 0.5000)
Ir (0.2500, 0.7500, 0.5000)
Ir (0.7500, 0.2500, 0.5000)
Ir (0.7500, 0.7500, 0.5000)

Summary:
DFT formation energy: -434 meV per atom
Crystal system: monoclinic
Final energy: -40.631 eV per atom
SG: C2/m (12)
D(E_F): 4.15 states/eV/cell

***

Density functional theory data (SCAN) for a crystal of ScBe2Ir relaxed with PBEsol.

Cell: 3.8593 3.8593 13.3347 Å, 90.00 90.00 120.00°
Positions (direct):
Sc (0.0000, 0.0000, 0.0000)
Sc (0.3333, 0.6667, 0.6667)
Sc (0.6667, 0.3333, 0.3333)
Be (0.0000, 0.0000, 0.1912)
Be (0.0000, 0.0000, 0.4892)
Be (0.3333, 0.6667, 0.1559)
Be (0.3333, 0.6667, 0.8578)
Be (0.6667, 0.3333, 0.5245)
Be (0.6667, 0.3333, 0.8225)
Ir (0.0000, 0.0000, 0.7992)
Ir (0.3333, 0.6667, 0.4658)
Ir (0.6667, 0.3333, 0.1325)

Summary:
DFT formation energy: -584 meV per atom
Crystal system: trigonal
Final energy: -24.095 eV per atom
SG: R3m (160)
D(E_F): 7.17 states/eV/cell

***

Density functional theory data (SCAN) for a crystal of ScBeIr2 relaxed with PBEsol.

Cell: 3.9577 3.9577 16.1742 Å, 90.00 90.00 90.00°
Positions (direct):
Sc (0.0000, 0.0000, 0.0000)
Sc (0.0000, 0.5000, 0.2500)
Sc (0.5000, 0.0000, 0.7500)
Sc (0.5000, 0.5000, 0.5000)
Be (0.0000, 0.0000, 0.5000)
Be (0.0000, 0.5000, 0.7500)
Be (0.5000, 0.0000, 0.2500)
Be (0.5000, 0.5000, 0.0000)
Ir (0.1913, 0.2500, 0.6250)
Ir (0.2500, 0.6913, 0.8750)
Ir (0.2500, 0.8087, 0.3750)
Ir (0.3087, 0.2500, 0.1250)
Ir (0.6913, 0.7500, 0.1250)
Ir (0.7500, 0.1913, 0.3750)
Ir (0.7500, 0.3087, 0.8750)
Ir (0.8087, 0.7500, 0.6250)

Summary:
DFT formation energy: -221 meV per atom
Crystal system: tetragonal
Final energy: -40.418 eV per atom
SG: I-42d (122)
D(E_F): 8.56 states/eV/cell

***

Density functional theory data (SCAN) for a crystal of Sc2BeIr relaxed with PBEsol.

Cell: 2.9309 2.9309 27.0994 Å, 90.00 90.00 120.00°
Positions (direct):
Sc (0.0000, 0.0000, 0.0907)
Sc (0.0000, 0.0000, 0.9093)
Sc (0.3333, 0.6667, 0.5759)
Sc (0.3333, 0.6667, 0.7574)
Sc (0.6667, 0.3333, 0.2426)
Sc (0.6667, 0.3333, 0.4241)
Be (0.0000, 0.0000, 0.5000)
Be (0.3333, 0.6667, 0.1667)
Be (0.6667, 0.3333, 0.8333)
Ir (0.0000, 0.0000, 0.0000)
Ir (0.3333, 0.6667, 0.6667)
Ir (0.6667, 0.3333, 0.3333)

Summary:
DFT formation energy: 293 meV per atom
Crystal system: trigonal
Final energy: -25.688 eV per atom
SG: R-3m (166)
D(E_F): 10.79 states/eV/cell

***

Density functional theory data (SCAN) for a crystal of ScBeTeIr2 relaxed with PBEsol.

Cell: 4.1737 4.1737 4.6604 Å, 90.00 90.00 90.00°
Positions (direct):
Sc (0.0000, 0.0000, 0.0000)
Be (0.0000, 0.0000, 0.5000)
Te (0.5000, 0.5000, 0.0000)
Ir (0.0000, 0.5000, 0.5000)
Ir (0.5000, 0.0000, 0.5000)

Summary:
Formation energy from raw total energies: -95 meV per atom
Crystal system: tetragonal
Final energy: -39.703 eV per atom
SG: P4/mmm (123)
D(E_F): 2.77 states/eV/cell

***

Density functional theory data (SCAN) for a crystal of Be2IrSe relaxed with PBEsol.

Cell: 5.1645 6.6362 2.8370 Å, 90.00 90.00 90.00°
Positions (direct):
Be (0.2500, 0.2500, 0.0000)
Be (0.2500, 0.7500, 0.0000)
Be (0.7500, 0.2500, 0.0000)
Be (0.7500, 0.7500, 0.0000)
Ir (0.0000, 0.0000, 0.5000)
Ir (0.5000, 0.5000, 0.5000)
Se (0.0000, 0.5000, 0.5000)
Se (0.5000, 0.0000, 0.5000)

Summary:
Offset from the most stable computed form: 72 meV per atom
Formation energy from raw total energies: 29 meV per atom
Crystal system: orthorhombic
Final energy: -24.942 eV per atom
SG: Cmmm (65)
D(E_F): 2.14 states/eV/cell

***

Density functional theory data (SCAN) for a crystal of BeIrSe2 relaxed with PBEsol.

Cell: 3.0947 3.0947 22.6373 Å, 90.00 90.00 120.00°
Positions (direct):
Be (0.0000, 0.0000, 0.0000)
Be (0.3333, 0.6667, 0.6667)
Be (0.6667, 0.3333, 0.3333)
Ir (0.0000, 0.0000, 0.5000)
Ir (0.3333, 0.6667, 0.1667)
Ir (0.6667, 0.3333, 0.8333)
Se (0.0000, 0.0000, 0.3960)
Se (0.0000, 0.0000, 0.6040)
Se (0.3333, 0.6667, 0.0626)
Se (0.3333, 0.6667, 0.2707)
Se (0.6667, 0.3333, 0.7293)
Se (0.6667, 0.3333, 0.9374)

Summary:
Offset from the most stable computed form: 0 meV per atom
Formation energy from raw total energies: 195 meV per atom
Crystal system: trigonal
Final energy: -28.708 eV per atom
SG: R-3m (166)
D(E_F): 6.05 states/eV/cell

***

Density functional theory data (SCAN) for a crystal of BeIrSe2 relaxed with PBEsol.

Cell: 4.9382 4.9382 5.2801 Å, 90.00 90.00 90.00°
Positions (direct):
Be (0.0000, 0.0000, 0.0000)
Be (0.5000, 0.5000, 0.5000)
Ir (0.0000, 0.0000, 0.5000)
Ir (0.5000, 0.5000, 0.0000)
Se (0.0000, 0.5000, 0.0000)
Se (0.0000, 0.5000, 0.5000)
Se (0.5000, 0.0000, 0.0000)
Se (0.5000, 0.0000, 0.5000)

Summary:
Offset from the most stable computed form: 113 meV per atom
Formation energy from raw total energies: 307 meV per atom
Crystal system: tetragonal
Final energy: -28.595 eV per atom
SG: I4/mmm (139)
D(E_F): 3.03 states/eV/cell

***

Density functional theory data (SCAN) for a crystal of Be2IrSe relaxed with PBEsol.

Cell: 2.9711 3.0462 5.6216 Å, 90.00 90.00 90.00°
Positions (direct):
Be (0.0000, 0.0000, 0.0000)
Be (0.5000, 0.5000, 0.2257)
Ir (0.0000, 0.0000, 0.3870)
Se (0.5000, 0.5000, 0.7913)

Summary:
Offset from the most stable computed form: 0 meV per atom
Formation energy from raw total energies: -42 meV per atom
Crystal system: orthorhombic
Final energy: -25.014 eV per atom
SG: Pmm2 (25)
D(E_F): 1.23 states/eV/cell

***

Density functional theory data (SCAN) for a crystal of Be2TlIrSe relaxed with PBEsol.

Cell: 4.1911 4.1911 4.8790 Å, 90.00 90.00 90.00°
Positions (direct):
Be (0.0000, 0.5000, 0.0000)
Be (0.5000, 0.0000, 0.0000)
Tl (0.0000, 0.0000, 0.5000)
Ir (0.5000, 0.5000, 0.5000)
Se (0.5000, 0.5000, 0.0000)

Summary:
Formation energy from raw total energies: 874 meV per atom
Crystal system: tetragonal
Final energy: -33.575 eV per atom
SG: P4/mmm (123)
D(E_F): 1.50 states/eV/cell

***

Density functional theory data (SCAN) for a crystal of BeSiIr relaxed with PBEsol.

Cell: 2.8097 3.3462 7.3643 Å, 90.00 90.00 90.00°
Positions (direct):
Be (0.0000, 0.0000, 0.0000)
Be (0.5000, 0.5000, 0.5000)
Si (0.0000, 0.0000, 0.6676)
Si (0.5000, 0.5000, 0.1676)
Ir (0.0000, 0.0000, 0.3349)
Ir (0.5000, 0.5000, 0.8349)

Summary:
Formation energy from raw total energies: -664 meV per atom
Crystal system: orthorhombic
Final energy: -29.153 eV per atom
SG: Imm2 (44)
D(E_F): 0.98 states/eV/cell

***

Density functional theory data (SCAN) for a crystal of Be2SiIr2 relaxed with PBEsol.

Cell: 6.3885 6.3885 2.7293 Å, 90.00 90.00 90.00°
Positions (direct):
Be (0.1157, 0.3843, 0.0000)
Be (0.3843, 0.8843, 0.0000)
Be (0.6157, 0.1157, 0.0000)
Be (0.8843, 0.6157, 0.0000)
Si (0.0000, 0.0000, 0.0000)
Si (0.5000, 0.5000, 0.0000)
Ir (0.1804, 0.6804, 0.5000)
Ir (0.3196, 0.1804, 0.5000)
Ir (0.6804, 0.8196, 0.5000)
Ir (0.8196, 0.3196, 0.5000)

Summary:
Offset from the most stable computed form: 54 meV per atom
Formation energy from raw total energies: -456 meV per atom
Crystal system: tetragonal
Final energy: -32.640 eV per atom
SG: P4/mbm (127)
D(E_F): 3.16 states/eV/cell

***

Density functional theory data (SCAN) for a crystal of Be2SiIr2 relaxed with PBEsol.

Cell: 6.4165 6.4165 2.8801 Å, 90.00 90.00 90.00°
Positions (direct):
Be (0.1318, 0.3682, 0.0000)
Be (0.3682, 0.8682, 0.0000)
Be (0.6318, 0.1318, 0.0000)
Be (0.8682, 0.6318, 0.0000)
Si (0.0000, 0.0000, 0.5000)
Si (0.5000, 0.5000, 0.5000)
Ir (0.1622, 0.6622, 0.5000)
Ir (0.3378, 0.1622, 0.5000)
Ir (0.6622, 0.8378, 0.5000)
Ir (0.8378, 0.3378, 0.5000)

Summary:
Offset from the most stable computed form: 0 meV per atom
Formation energy from raw total energies: -510 meV per atom
Crystal system: tetragonal
Final energy: -32.695 eV per atom
SG: P4/mbm (127)
D(E_F): 3.60 states/eV/cell

***

Density functional theory data (SCAN) for a crystal of Be4SiIr relaxed with PBEsol.

Cell: 4.2975 4.2975 4.2975 Å, 60.00 60.00 60.00°
Positions (direct):
Be (0.1240, 0.1240, 0.1240)
Be (0.1240, 0.1240, 0.6280)
Be (0.1240, 0.6280, 0.1240)
Be (0.6280, 0.1240, 0.1240)
Si (0.5000, 0.5000, 0.5000)
Ir (0.7500, 0.7500, 0.7500)

Summary:
Formation energy from raw total energies: -417 meV per atom
Crystal system: cubic
Final energy: -16.838 eV per atom
SG: F-43m (216)
D(E_F): 2.01 states/eV/cell

***

Density functional theory data (SCAN) for a crystal of BeSiIr2 relaxed with PBEsol.

Cell: 2.7390 2.7390 23.4758 Å, 90.00 90.00 120.00°
Positions (direct):
Be (0.0000, 0.0000, 0.0000)
Be (0.3333, 0.6667, 0.6667)
Be (0.6667, 0.3333, 0.3333)
Si (0.0000, 0.0000, 0.2518)
Si (0.3333, 0.6667, 0.9185)
Si (0.6667, 0.3333, 0.5851)
Ir (0.0000, 0.0000, 0.5060)
Ir (0.0000, 0.0000, 0.7396)
Ir (0.3333, 0.6667, 0.1726)
Ir (0.3333, 0.6667, 0.4062)
Ir (0.6667, 0.3333, 0.0729)
Ir (0.6667, 0.3333, 0.8393)

Summary:
Offset from the most stable computed form: 649 meV per atom
Formation energy from raw total energies: -181 meV per atom
Crystal system: trigonal
Final energy: -39.323 eV per atom
SG: R3m (160)
D(E_F): 5.69 states/eV/cell

***

Density functional theory data (SCAN) for a crystal of BeSiIr2 relaxed with PBEsol.

Cell: 5.7351 5.7351 5.7351 Å, 90.00 90.00 90.00°
Positions (direct):
Be (0.0000, 0.0000, 0.0000)
Be (0.0000, 0.5000, 0.5000)
Be (0.5000, 0.0000, 0.5000)
Be (0.5000, 0.5000, 0.0000)
Si (0.0000, 0.0000, 0.5000)
Si (0.0000, 0.5000, 0.0000)
Si (0.5000, 0.0000, 0.0000)
Si (0.5000, 0.5000, 0.5000)
Ir (0.2500, 0.2500, 0.2500)
Ir (0.2500, 0.2500, 0.7500)
Ir (0.2500, 0.7500, 0.2500)
Ir (0.2500, 0.7500, 0.7500)
Ir (0.7500, 0.2500, 0.2500)
Ir (0.7500, 0.2500, 0.7500)
Ir (0.7500, 0.7500, 0.2500)
Ir (0.7500, 0.7500, 0.7500)

Summary:
Offset from the most stable computed form: 0 meV per atom
Formation energy from raw total energies: -830 meV per atom
Crystal system: cubic
Final energy: -39.972 eV per atom
SG: Fm-3m (225)
D(E_F): 3.93 states/eV/cell

***

Density functional theory data (SCAN) for a crystal of BeSiIr2 relaxed with PBEsol.

Cell: 7.6764 2.7763 4.7577 Å, 90.00 101.44 90.00°
Positions (direct):
Be (0.0000, 0.0000, 0.0000)
Be (0.5000, 0.5000, 0.0000)
Si (0.0000, 0.5000, 0.5000)
Si (0.5000, 0.0000, 0.5000)
Ir (0.2503, 0.0000, 0.7551)
Ir (0.2497, 0.5000, 0.2449)
Ir (0.7497, 0.0000, 0.2449)
Ir (0.7503, 0.5000, 0.7551)

Summary:
Offset from the most stable computed form: 348 meV per atom
Formation energy from raw total energies: -482 meV per atom
Crystal system: monoclinic
Final energy: -39.624 eV per atom
SG: C2/m (12)
D(E_F): 4.00 states/eV/cell

***

Density functional theory data (SCAN) for a crystal of BeSiIr2 relaxed with PBEsol.

Cell: 2.8838 2.8838 5.6892 Å, 90.00 90.00 90.00°
Positions (direct):
Be (0.0000, 0.0000, 0.0000)
Si (0.0000, 0.0000, 0.5000)
Ir (0.5000, 0.5000, 0.2460)
Ir (0.5000, 0.5000, 0.7540)

Summary:
Offset from the most stable computed form: 67 meV per atom
Formation energy from raw total energies: -763 meV per atom
Crystal system: tetragonal
Final energy: -39.905 eV per atom
SG: P4/mmm (123)
D(E_F): 0.74 states/eV/cell